Record 1
DFT (PBE) results for crystalline YPaFe10 at its relaxed geometry.

```
YPaFe10
1.0
3.9987 0.0000 0.0000
0.0000 4.9767 0.0000
0.0000 0.0000 8.5926
Fe Pa Y
10 1 1
direct
0.0000 0.0000 0.3374
0.5000 0.5000 0.0000
0.5000 0.2501 0.2505
0.5000 0.7499 0.2505
0.0000 0.0000 0.6626
0.5000 0.7499 0.7495
0.5000 0.2501 0.7495
0.0000 0.5000 0.1710
0.5000 0.0000 0.5000
0.0000 0.5000 0.8290
0.0000 0.5000 0.5000
0.0000 0.0000 0.0000
```

- SG = Pmmm (47)

=====

Record 2
DFT (PBE) results for crystalline YPaFe at its relaxed geometry.

```
YPaFe
1.0
3.6742 0.0000 0.0000
0.0000 5.9445 0.0000
0.0000 0.0000 12.6202
Fe Y Pa
4 4 4
direct
0.2500 0.1342 0.0367
0.7500 0.8658 0.9633
0.7500 0.3658 0.5367
0.2500 0.6342 0.4633
0.2500 0.1271 0.3941
0.7500 0.8729 0.6059
0.7500 0.3729 0.8941
0.2500 0.6271 0.1059
0.2500 0.8751 0.8471
0.2500 0.3751 0.6529
0.7500 0.6249 0.3471
0.7500 0.1249 0.1529
```

- SG = Pnma (62)
- energy above the lowest structure with this stoichiometry (eV per atom) = 0.0000

=====

Record 3
DFT (PBE) results for crystalline Pa2Zn2Fe3 at its relaxed geometry.

```
Pa2Zn2Fe3
1.0
4.0506 0.0000 -1.5027
-0.1699 4.6550 -0.4580
0.0515 0.1066 6.3495
Pa Fe Zn
2 3 2
direct
0.1444 0.3826 0.2889
0.8556 0.6174 0.7111
0.0000 0.0000 0.0000
0.2036 0.8373 0.4072
0.7964 0.1627 0.5928
0.5960 0.8850 0.1920
0.4040 0.1150 0.8080
```

- SG = C2/m (12)

=====

Record 4
DFT (PBE) results for crystalline PaZn2Fe at its relaxed geometry.

```
PaZn2Fe
1.0
4.3033 -0.0162 0.0000
-1.1637 4.5939 0.0000
0.0000 0.0000 6.8596
Fe Zn Pa
2 4 2
direct
0.1174 0.4213 0.7500
0.8826 0.5787 0.2500
0.4200 0.7307 0.0606
0.4200 0.7307 0.4394
0.5800 0.2693 0.9394
0.5800 0.2693 0.5606
0.9688 0.8273 0.7500
0.0312 0.1727 0.2500
```

- SG = P2_1/m (11)
- energy above the lowest structure with this stoichiometry (eV per atom) = 0.0000

=====

| no. | energy relative to the elements (meV/atom) | final energy (eV/atom) |
| --- | --- | --- |
| 1 | -56 | -8.44 |
| 2 | -118 | -8.26 |
| 3 | -232 | -6.94 |
| 4 | -243 | -5.37 |